5
Lattice="6.3971 0.0000 0.0000 0.0000 6.3971 0.0000 0.0000 0.0000 4.3518" Properties=species:S:1:pos:R:3 comment="SrSnI2O | Alexandria | PBE | optimized geometry" e_above_lowest_polymorph_mev_per_atom=200 dos_ef_per_ev_atom=0.294 magnetic_moment_mub_per_atom=0.052 spacegroup="P4/mmm (123)" rho_g_cm3=4.44 raw_formation_energy_mev_per_atom=-696 pbc="T T T"
Sr 0.0000 0.0000 0.0000
Sn 3.1986 3.1986 2.1759
I 0.0000 3.1986 0.0000
I 3.1986 0.0000 0.0000
O 0.0000 0.0000 2.1759


18
Lattice="5.4776 0.0000 0.0000 -2.7388 4.7437 0.0000 0.0000 0.0000 10.8429" Properties=species:S:1:pos:R:3 comment="SrSnIO6 | Alexandria | PBE | optimized geometry" dos_ef_per_ev_atom=0.373 magnetic_moment_mub_per_atom=0.080 spacegroup="P-31c (163)" rho_g_cm3=5.06 raw_formation_energy_mev_per_atom=-1362 pbc="T T T"
Sr 0.0000 0.0000 0.0000
Sr 0.0000 0.0000 5.4215
Sn 0.0000 3.1625 2.7107
Sn 2.7388 1.5812 8.1322
I 0.0000 3.1625 8.1322
I 2.7388 1.5812 2.7107
O -0.9866 1.8091 6.9924
O -1.6654 2.9848 9.2720
O 0.9866 1.8091 9.2720
O -0.6788 4.6936 6.9924
O 2.0600 0.0501 1.5710
O 1.0734 1.7590 3.8505
O 1.6654 2.9848 6.9924
O 0.6788 4.6936 9.2720
O 3.4176 0.0501 3.8505
O 1.7522 2.9347 1.5710
O 4.4042 1.7590 1.5710
O 3.7254 2.9347 3.8505


5
Lattice="5.8939 0.0000 0.0000 0.0000 5.8939 0.0000 0.0000 0.0000 5.9601" Properties=species:S:1:pos:R:3 comment="SnTeI2O | Alexandria | PBE | optimized geometry" e_above_lowest_polymorph_mev_per_atom=943 dos_ef_per_ev_atom=4.051 magnetic_moment_mub_per_atom=0.286 spacegroup="P4/mmm (123)" rho_g_cm3=4.14 raw_formation_energy_mev_per_atom=849 pbc="T T T"
Sn 0.0000 0.0000 0.0000
Te 0.0000 0.0000 2.9800
I 0.0000 2.9470 0.0000
I 2.9470 0.0000 0.0000
O 2.9470 2.9470 2.9800


5
Lattice="5.8858 0.0000 0.0000 0.0000 5.8858 0.0000 0.0000 0.0000 6.2726" Properties=species:S:1:pos:R:3 comment="SnTeI2O | Alexandria | PBE | optimized geometry" e_above_lowest_polymorph_mev_per_atom=885 dos_ef_per_ev_atom=1.909 magnetic_moment_mub_per_atom=0.035 spacegroup="P4/mmm (123)" rho_g_cm3=3.94 raw_formation_energy_mev_per_atom=791 pbc="T T T"
Sn 0.0000 0.0000 0.0000
Te 0.0000 0.0000 3.1363
I 0.0000 2.9429 3.1363
I 2.9429 0.0000 3.1363
O 2.9429 2.9429 0.0000


5
Lattice="6.1679 0.0000 0.0000 0.0000 6.1679 0.0000 0.0000 0.0000 3.9993" Properties=species:S:1:pos:R:3 comment="SnTeI2O | Alexandria | PBE | optimized geometry" e_above_lowest_polymorph_mev_per_atom=0 dos_ef_per_ev_atom=0.809 magnetic_moment_mub_per_atom=0.000 spacegroup="P4/mmm (123)" rho_g_cm3=5.63 raw_formation_energy_mev_per_atom=-94 pbc="T T T"
Sn 0.0000 0.0000 0.0000
Te 3.0840 3.0840 1.9996
I 0.0000 3.0840 0.0000
I 3.0840 0.0000 0.0000
O 0.0000 0.0000 1.9996


5
Lattice="5.2913 0.0000 0.0000 0.0000 5.2913 0.0000 0.0000 0.0000 4.7701" Properties=species:S:1:pos:R:3 comment="SnTeI2O | Alexandria | PBE | optimized geometry" e_above_lowest_polymorph_mev_per_atom=277 dos_ef_per_ev_atom=0.448 magnetic_moment_mub_per_atom=0.000 spacegroup="P4/mmm (123)" rho_g_cm3=6.42 raw_formation_energy_mev_per_atom=184 pbc="T T T"
Sn 0.0000 0.0000 0.0000
Te 2.6456 2.6456 0.0000
I 0.0000 2.6456 2.3851
I 2.6456 0.0000 2.3851
O 2.6456 2.6456 2.3851